DFT (PBE-GGA) results for a geometry-optimized ScCd2Sb structure.

Magnetization (μB per formula unit): 0.0
Formation energy without anion corrections (kJ per mole of atoms): -16.1
Energy (eV/atom): -3.24
Volume (Å³/cell): 94.7

The structure in CIF format:
```
data_ScCd2Sb
_chemical_formula_sum 'Sc1 Cd2 Sb1'
_space_group_name_H-M_alt 'P 4/m m m'
_space_group_IT_number 123
_space_group_name_Hall '-P 4 2'
_cell_length_a 4.0203
_cell_length_b 4.0203
_cell_length_c 5.8595
_cell_angle_alpha 90.00
_cell_angle_beta 90.00
_cell_angle_gamma 90.00
loop_
_atom_site_label
_atom_site_fract_x
_atom_site_fract_y
_atom_site_fract_z
_atom_site_occupancy
Sc1 0.0000 0.0000 0.0000 1
Cd1 0.5000 0.5000 0.2460 1
Sb1 0.0000 0.0000 0.5000 1
```

=====

DFT (PBE-GGA) results for a geometry-optimized LaTb2Nd2Sm structure.

Magnetization (μB per formula unit): 0.0
ΔH_f (0 K) (eV per atom): 0.2507
Energy (eV/atom): -4.49
Volume (Å³/cell): 416.2

The structure in CIF format:
```
data_LaTb2Nd2Sm
_chemical_formula_sum 'La2 Tb4 Nd4 Sm2'
_space_group_name_H-M_alt 'P n n m'
_space_group_IT_number 58
_cell_length_a 6.7505
_cell_length_b 17.9773
_cell_length_c 3.4296
_cell_angle_alpha 90.00
_cell_angle_beta 90.00
_cell_angle_gamma 90.00
loop_
_space_group_symop_operation_xyz
'x,y,z'
'-x,-y,-z'
'-x,-y,z'
'x,y,-z'
'x+1/2,-y+1/2,-z+1/2'
'-x+1/2,y+1/2,z+1/2'
'-x+1/2,y+1/2,-z+1/2'
'x+1/2,-y+1/2,z+1/2'
loop_
_atom_site_label
_atom_site_fract_x
_atom_site_fract_y
_atom_site_fract_z
_atom_site_occupancy
La1 0.0000 0.0000 0.0000 1
Tb1 0.2309 0.1793 0.0000 1
Nd1 0.2255 0.3473 0.5000 1
Sm1 0.0000 0.5000 0.0000 1
```

=====

DFT (PBE-GGA) results for a geometry-optimized ZrTiAs2Br structure.

Magnetization (μB per formula unit): 1.3
Formation energy without anion corrections (kJ per mole of atoms): 4.4
Energy (eV/atom): -5.44
Relative energy among the computed polymorphs (meV per atom): 0
Volume (Å³/cell): 117.5

The structure in CIF format:
```
data_ZrTiAs2Br
_chemical_formula_sum 'Zr1 Ti1 As2 Br1'
_space_group_name_H-M_alt 'P 4/m m m'
_space_group_IT_number 123
_space_group_name_Hall '-P 4 2'
_cell_length_a 4.8930
_cell_length_b 4.8930
_cell_length_c 4.9075
_cell_angle_alpha 90.00
_cell_angle_beta 90.00
_cell_angle_gamma 90.00
loop_
_atom_site_label
_atom_site_fract_x
_atom_site_fract_y
_atom_site_fract_z
_atom_site_occupancy
Zr1 0.0000 0.0000 0.0000 1
Ti1 0.5000 0.5000 0.5000 1
As1 0.0000 0.5000 0.5000 1
Br1 0.5000 0.5000 0.0000 1
```

=====

DFT (PBE-GGA) results for a geometry-optimized CaAc6Tl4 structure.

Magnetization (μB per formula unit): 0.0
ΔH_f (0 K) (eV per atom): -0.1256
Energy (eV/atom): -3.41
Volume (Å³/cell): 919.3

The structure in CIF format:
```
data_CaAc6Tl4
_chemical_formula_sum 'Ca2 Ac12 Tl8'
_space_group_name_H-M_alt 'I -4 2 m'
_space_group_IT_number 121
_space_group_name_Hall 'I -4 2'
_cell_length_a 8.4753
_cell_length_b 8.4753
_cell_length_c 12.7983
_cell_angle_alpha 90.00
_cell_angle_beta 90.00
_cell_angle_gamma 90.00
loop_
_atom_site_label
_atom_site_fract_x
_atom_site_fract_y
_atom_site_fract_z
_atom_site_occupancy
Ca1 0.0000 0.0000 0.0000 1
Ac1 0.0000 0.5000 0.0000 1
Ac2 0.1892 0.1892 0.2808 1
Tl1 0.1571 0.1571 0.5664 1
```

=====

DFT (PBE-GGA) results for a geometry-optimized FeSi2Au structure.

Magnetization (μB per formula unit): 1.0
Formation energy without anion corrections (kJ per mole of atoms): 24.0
Energy (eV/atom): -5.40
Relative energy among the computed polymorphs (meV per atom): 330
Volume (Å³/cell): 109.9

The structure in CIF format:
```
data_FeSi2Au
_chemical_formula_sum 'Fe2 Si4 Au2'
_space_group_name_H-M_alt 'I 4/m m m'
_space_group_IT_number 139
_space_group_name_Hall '-I 4 2'
_cell_length_a 3.9188
_cell_length_b 3.9188
_cell_length_c 7.1585
_cell_angle_alpha 90.00
_cell_angle_beta 90.00
_cell_angle_gamma 90.00
loop_
_atom_site_label
_atom_site_fract_x
_atom_site_fract_y
_atom_site_fract_z
_atom_site_occupancy
Fe1 0.0000 0.0000 0.0000 1
Si1 0.0000 0.5000 0.2500 1
Au1 0.0000 0.0000 0.5000 1
```

=====

DFT (PBE-GGA) results for a geometry-optimized HfP2PbO structure.

Magnetization (μB per formula unit): 0.0
Formation energy without anion corrections (kJ per mole of atoms): 56.6
Energy (eV/atom): -5.30
Volume (Å³/cell): 107.7

The structure in CIF format:
```
data_HfP2PbO
_chemical_formula_sum 'Hf1 P2 Pb1 O1'
_space_group_name_H-M_alt 'P 4/m m m'
_space_group_IT_number 123
_space_group_name_Hall '-P 4 2'
_cell_length_a 5.0718
_cell_length_b 5.0718
_cell_length_c 4.1861
_cell_angle_alpha 90.00
_cell_angle_beta 90.00
_cell_angle_gamma 90.00
loop_
_atom_site_label
_atom_site_fract_x
_atom_site_fract_y
_atom_site_fract_z
_atom_site_occupancy
Hf1 0.0000 0.0000 0.0000 1
P1 0.0000 0.5000 0.5000 1
Pb1 0.5000 0.5000 0.5000 1
O1 0.5000 0.5000 0.0000 1
```

=====

DFT (PBE-GGA) results for a geometry-optimized CoPt2Pb structure.

Magnetization (μB per formula unit): 2.1
ΔH_f (0 K) (eV per atom): 0.1099
Energy (eV/atom): -5.61
Volume (Å³/cell): 133.2

The structure in CIF format:
```
data_CoPt2Pb
_chemical_formula_sum 'Co2 Pt4 Pb2'
_space_group_name_H-M_alt 'I 4/m m m'
_space_group_IT_number 139
_space_group_name_Hall '-I 4 2'
_cell_length_a 4.0303
_cell_length_b 4.0303
_cell_length_c 8.2023
_cell_angle_alpha 90.00
_cell_angle_beta 90.00
_cell_angle_gamma 90.00
loop_
_atom_site_label
_atom_site_fract_x
_atom_site_fract_y
_atom_site_fract_z
_atom_site_occupancy
Co1 0.0000 0.0000 0.0000 1
Pt1 0.0000 0.5000 0.2500 1
Pb1 0.0000 0.0000 0.5000 1
```

=====

DFT (PBE-GGA) results for a geometry-optimized Ac6PmTm structure.

Magnetization (μB per formula unit): 0.0
ΔH_f (0 K) (eV per atom): 0.1141
Energy (eV/atom): -4.12
Volume (Å³/cell): 671.3

The structure in CIF format:
```
data_Ac6PmTm
_chemical_formula_sum 'Ac12 Pm2 Tm2'
_space_group_name_H-M_alt 'C 1 2/m 1'
_space_group_IT_number 12
_cell_length_a 17.7179
_cell_length_b 6.3334
_cell_length_c 6.4159
_cell_angle_alpha 90.00
_cell_angle_beta 111.18
_cell_angle_gamma 90.00
loop_
_space_group_symop_operation_xyz
'x,y,z'
'-x,-y,-z'
'-x,y,-z'
'x,-y,z'
'x+1/2,y+1/2,z'
'-x+1/2,-y+1/2,-z'
'-x+1/2,y+1/2,-z'
'x+1/2,-y+1/2,z'
loop_
_atom_site_label
_atom_site_fract_x
_atom_site_fract_y
_atom_site_fract_z
_atom_site_occupancy
Ac1 0.1165 0.0000 0.0880 1
Ac2 0.1163 0.5000 0.6426 1
Ac3 0.2488 0.0000 0.7102 1
Pm1 0.0000 0.5000 0.0000 1
Tm1 0.0000 0.0000 0.5000 1
```

=====

DFT (PBE-GGA) results for a geometry-optimized Ba2NaZn3Sb4 structure.

Magnetization (μB per formula unit): 0.0
Formation energy without anion corrections (kJ per mole of atoms): -48.7
Energy (eV/atom): -3.05
Volume (Å³/cell): 285.5

The structure in CIF format:
```
data_Ba2NaZn3Sb4
_chemical_formula_sum 'Ba2 Na1 Zn3 Sb4'
_space_group_name_H-M_alt 'P -4 m 2'
_space_group_IT_number 115
_cell_length_a 5.1025
_cell_length_b 5.1025
_cell_length_c 10.9657
_cell_angle_alpha 90.00
_cell_angle_beta 90.00
_cell_angle_gamma 90.00
loop_
_space_group_symop_operation_xyz
'x,y,z'
'y,-x,-z'
'-x,-y,z'
'-y,x,-z'
'-x,y,z'
'-y,-x,-z'
'x,-y,z'
'y,x,-z'
loop_
_atom_site_label
_atom_site_fract_x
_atom_site_fract_y
_atom_site_fract_z
_atom_site_occupancy
Ba1 0.0000 0.5000 0.2413 1
Na1 0.0000 0.0000 0.5000 1
Zn1 0.0000 0.5000 0.8891 1
Zn2 0.5000 0.5000 0.5000 1
Sb1 0.0000 0.0000 0.0000 1
Sb2 0.0000 0.5000 0.6423 1
Sb3 0.5000 0.5000 0.0000 1
```

=====

DFT (PBE-GGA) results for a geometry-optimized HfS3 structure.

Magnetization (μB per formula unit): 0.0
Formation energy without anion corrections (kJ per mole of atoms): -29.3
Energy (eV/atom): -5.89
Volume (Å³/cell): 280.1

The structure in CIF format:
```
data_HfS3
_chemical_formula_sum 'Hf4 S12'
_space_group_name_H-M_alt 'F m m m'
_space_group_IT_number 69
_space_group_name_Hall '-F 2 2'
_cell_length_a 5.0848
_cell_length_b 5.1172
_cell_length_c 10.7644
_cell_angle_alpha 90.00
_cell_angle_beta 90.00
_cell_angle_gamma 90.00
loop_
_atom_site_label
_atom_site_fract_x
_atom_site_fract_y
_atom_site_fract_z
_atom_site_occupancy
Hf1 0.0000 0.0000 0.0000 1
S1 0.0000 0.0000 0.5000 1
S2 0.2500 0.2500 0.2500 1
```